Here is a geometry-optimized BaHg2Se structure from the Alexandria database. Energies are from GGA-PBE.

Geometry as POSCAR:
```
BaHg2Se
1.0
9.148 0.000 0.000
0.000 9.148 0.000
4.574 4.574 3.174
Hg Se Ba
4 2 2
Direct
0.589 0.125 0.250
0.161 0.625 0.250
0.375 0.411 0.750
0.875 0.839 0.750
0.500 0.500 0.000
0.250 0.750 0.500
0.000 0.000 0.000
0.750 0.250 0.500
```

space-group type: I-42d, No. 122
uncorrected energy: -2.2077 eV per atom
total moment: 0.00 μB per cell
energy relative to the elements, uncorrected: -0.705 eV per atom
crystal system: tetragonal

***

Here is a geometry-optimized Ac3Al2CdPd6 structure from the Alexandria database. Energies are from GGA-PBE.

Geometry as POSCAR:
```
Ac3Al2CdPd6
1.0
5.942 0.000 0.000
-2.971 5.146 0.000
0.000 0.000 9.135
Ac Al Cd Pd
3 2 1 6
Direct
0.333 0.667 0.640
0.667 0.333 0.360
0.000 0.000 0.000
0.667 0.333 0.953
0.333 0.667 0.047
0.000 0.000 0.500
0.650 0.825 0.271
0.175 0.350 0.271
0.175 0.825 0.271
0.825 0.650 0.729
0.350 0.175 0.729
0.825 0.175 0.729
```

space-group type: P-3m1, No. 164
uncorrected energy: -4.9367 eV per atom
total moment: 0.00 μB per cell
energy of formation: -7.36 eV/f.u.
crystal system: trigonal

***

Here is a geometry-optimized CsBaCd structure from the Alexandria database. Energies are from GGA-PBE.

Geometry as POSCAR:
```
CsBaCd
1.0
4.468 0.000 0.000
0.000 4.468 0.000
-2.234 -2.234 8.451
Cs Ba Cd
1 1 1
Direct
0.029 0.029 0.058
0.286 0.286 0.572
0.685 0.685 0.370
```

space-group type: I4mm, No. 107
uncorrected energy: -1.2900 eV per atom
total moment: 0.00 μB per cell
energy of formation: -0.18 eV/f.u.
crystal system: tetragonal

***

Here is a geometry-optimized GaSe2IN structure from the Alexandria database. Energies are from GGA-PBE.

Geometry as POSCAR:
```
GaSe2IN
1.0
5.589 0.000 0.000
0.000 5.589 0.000
0.000 0.000 3.997
I Ga Se N
1 1 2 1
Direct
0.000 0.000 0.000
0.500 0.500 0.500
0.000 0.500 0.000
0.500 0.000 0.000
0.000 0.000 0.500
```

space-group type: P4/mmm, No. 123
uncorrected energy: -2.8618 eV per atom
total moment: 0.80 μB per cell
energy relative to the elements, uncorrected: 1.113 eV per atom
crystal system: tetragonal
distance to the lowest polymorph of the same formula: 0.3648 eV/atom